VASP calculation (PBE) on a relaxed structure of Fe4Ni15Pd.

Computed properties:
Formation energy, kJ/mol of formula units: -122.3
SG: No. 123

a = 3.570 Å, b = 3.570 Å, c = 17.727 Å
α = 90.00°, β = 90.00°, γ = 90.00°
Last column: magnetic moment on the atom in μB.
Fractional coordinates of all 20 atoms:
Fe 0.000 0.000 0.202  2.86
Fe 0.000 0.000 0.401  2.91
Fe 0.000 0.000 0.599  2.91
Fe 0.000 0.000 0.798  2.86
Ni 0.500 0.500 0.000  0.63
Ni 0.500 0.500 0.204  0.67
Ni 0.500 0.500 0.401  0.65
Ni 0.500 0.500 0.599  0.65
Ni 0.500 0.500 0.796  0.67
Ni 0.500 0.000 0.106  0.66
Ni 0.500 0.000 0.303  0.67
Ni 0.500 0.000 0.500  0.68
Ni 0.500 0.000 0.697  0.67
Ni 0.500 0.000 0.894  0.66
Ni 0.000 0.500 0.106  0.66
Ni 0.000 0.500 0.303  0.67
Ni 0.000 0.500 0.500  0.68
Ni 0.000 0.500 0.697  0.67
Ni 0.000 0.500 0.894  0.66
Pd 0.000 0.000 0.000  0.14